The following is a DFT calculation (PBE-GGA) of a relaxed TaAlPt2I crystal.

E_form (uncorrected): 1486 meV/atom
VASP energy: -21.80 eV/cell
V: 124.09 Å³/cell

CIF file:
```
data_TaAlPt2I
_cell_length_a 4.9297
_cell_length_b 4.9297
_cell_length_c 5.1062
_cell_angle_alpha 90.00
_cell_angle_beta 90.00
_cell_angle_gamma 90.00
_space_group_name_H-M_alt 'P 4/m m m'
_space_group_IT_number 123
_space_group_name_Hall '-P 4 2'
loop_
_atom_site_label
_atom_site_type_symbol
_atom_site_fract_x
_atom_site_fract_y
_atom_site_fract_z
_atom_site_occupancy
Ta1 Ta 0.0000 0.0000 0.0000 1
Al1 Al 0.5000 0.5000 0.0000 1
Pt1 Pt 0.0000 0.5000 0.5000 1
I1 I 0.0000 0.0000 0.5000 1
```